Entry 1:
First-principles (GGA-PBE) data for a relaxed Th3Se3S crystal, as listed in Alexandria via LeMat-Bulk.

```
Th3Se3S
1.0
7.6603 1.0738 2.8564
2.4391 7.3406 2.8564
1.3039 1.0864 8.1088
Th Se S
6 6 2
direct
0.9976 0.9976 0.7524
0.5001 0.0000 0.2387
0.0000 0.5001 0.2387
0.4999 0.0000 0.7613
0.0000 0.4999 0.7613
0.0024 0.0024 0.2476
0.2587 0.2587 0.4913
0.2639 0.7361 0.5000
0.7361 0.2639 0.5000
0.2638 0.7362 0.0000
0.7362 0.2638 0.0000
0.7413 0.7413 0.5087
0.2529 0.2529 0.9971
0.7471 0.7471 0.0029
```

Values from the calculation:
The density of states at the Fermi level comes out at 6.761 states/eV per cell. The energy relative to the elements, uncorrected comes out at -1701 meV/atom. The distance to the lowest polymorph of the same formula comes out at 0 meV per atom. For the magnetization, the calculation gives 0.0 μB/f.u.

***

Entry 2:
First-principles (GGA-PBE) data for a relaxed Th4Se5S crystal, as listed in Alexandria via LeMat-Bulk.

```
Th4Se5S
1.0
4.2034 0.0000 0.0000
0.0000 8.1212 -0.4890
-2.1017 -1.6638 8.9259
Th Se S
4 5 1
direct
0.3381 0.9049 0.6762
0.0007 0.7617 0.0013
0.6619 0.0951 0.3238
0.9993 0.2383 0.9987
0.8351 0.6590 0.6702
0.8298 0.1627 0.6595
0.1702 0.8373 0.3405
0.5000 0.5000 0.0000
0.1649 0.3410 0.3298
0.5000 0.0000 0.0000
```

Values from the calculation:
The density of states at the Fermi level comes out at 3.996 states/eV per cell. The energy relative to the elements, uncorrected comes out at -1691 meV/atom. For the magnetization, the calculation gives 0.0 μB/f.u.

***

Entry 3:
First-principles (GGA-PBE) data for a relaxed Th5SeS4 crystal, as listed in Alexandria via LeMat-Bulk.

```
Th5SeS4
1.0
3.9933 0.0000 -0.7704
-0.2971 5.5486 -1.5402
0.0128 0.0028 10.8007
Th Se S
5 1 4
direct
0.6054 0.1054 0.2108
0.8011 0.3011 0.6023
0.1989 0.6989 0.3977
0.0000 0.5000 0.0000
0.3946 0.8946 0.7892
0.0000 0.0000 0.0000
0.4004 0.4004 0.8007
0.7971 0.7971 0.5941
0.2029 0.2029 0.4059
0.5996 0.5996 0.1993
```

Values from the calculation:
The density of states at the Fermi level comes out at 5.953 states/eV per cell. The energy relative to the elements, uncorrected comes out at -1780 meV/atom. For the magnetization, the calculation gives 0.0 μB/f.u.

***

Entry 4:
First-principles (GGA-PBE) data for a relaxed Th3Se5S crystal, as listed in Alexandria via LeMat-Bulk.

```
Th3Se5S
1.0
8.0093 0.0267 -0.0467
2.2183 7.6960 -0.0467
2.9793 2.2496 9.6027
Th Se S
6 10 2
direct
0.6655 0.6655 0.8369
0.6834 0.6834 0.3613
0.0000 0.0000 0.0000
0.0000 0.0000 0.5000
0.3345 0.3345 0.1631
0.3166 0.3166 0.6387
0.9854 0.3711 0.3527
0.3035 0.6965 0.0000
0.7613 0.7613 0.0556
0.4598 0.4598 0.3502
0.5402 0.5402 0.6498
0.2387 0.2387 0.9444
0.3711 0.9854 0.3527
0.6965 0.3035 0.0000
0.0146 0.6289 0.6473
0.6289 0.0146 0.6473
0.0862 0.0862 0.7124
0.9138 0.9138 0.2876
```

Values from the calculation:
The density of states at the Fermi level comes out at 0.000 states/eV per cell. The energy relative to the elements, uncorrected comes out at -1668 meV/atom. For the magnetization, the calculation gives 0.0 μB/f.u.

***

Entry 5:
First-principles (GGA-PBE) data for a relaxed Th5Se5S2 crystal, as listed in Alexandria via LeMat-Bulk.

```
Th5Se5S2
1.0
4.0960 0.0000 0.0000
-2.0480 6.8412 -0.1954
0.0000 -3.5883 11.5623
Th Se S
5 5 2
direct
0.1269 0.2539 0.4262
0.6909 0.3818 0.7957
0.3091 0.6182 0.2043
0.8731 0.7461 0.5738
0.0000 0.0000 0.0000
0.5000 0.0000 0.5000
0.6640 0.3281 0.0426
0.7292 0.4584 0.3294
0.2708 0.5416 0.6706
0.3360 0.6719 0.9574
0.0427 0.0854 0.7867
0.9573 0.9146 0.2133
```

Values from the calculation:
The density of states at the Fermi level comes out at 6.234 states/eV per cell. The energy relative to the elements, uncorrected comes out at -1657 meV/atom. For the magnetization, the calculation gives 0.0 μB/f.u.

***

Entry 6:
First-principles (GGA-PBE) data for a relaxed Th6Se8S crystal, as listed in Alexandria via LeMat-Bulk.

```
Th6Se8S
1.0
-4.1829 3.2906 5.0373
-7.3021 -0.3646 -0.4953
-3.7825 -7.6369 7.1779
Th Se S
6 8 1
direct
0.3678 0.0549 0.8355
0.9451 0.2582 0.1645
0.2582 0.6322 0.1645
0.7418 0.3678 0.8355
0.0549 0.7418 0.8355
0.6322 0.9451 0.1645
0.5486 0.2388 0.3188
0.7612 0.1062 0.6812
0.1062 0.4514 0.6812
0.6667 0.6667 0.0000
0.3333 0.3333 0.0000
0.8938 0.5486 0.3188
0.2388 0.8938 0.3188
0.4514 0.7612 0.6812
0.0000 0.0000 0.0000
```

Values from the calculation:
The density of states at the Fermi level comes out at 4.947 states/eV per cell. The energy relative to the elements, uncorrected comes out at -1653 meV/atom. For the magnetization, the calculation gives 0.0 μB/f.u.

***

Entry 7:
First-principles (GGA-PBE) data for a relaxed Th4Se4S3 crystal, as listed in Alexandria via LeMat-Bulk.

```
Th4Se4S3
1.0
-2.3580 0.1775 3.0063
3.8966 -6.6309 3.4478
4.6588 8.4693 0.7210
Th Se S
4 4 3
direct
0.2668 0.7668 0.5335
0.7332 0.2332 0.4665
0.5000 0.7656 0.0000
0.5000 0.2344 0.0000
0.3329 0.1463 0.6657
0.6671 0.4805 0.3343
0.6671 0.8537 0.3343
0.3329 0.5195 0.6657
0.0889 0.0889 0.1778
0.9111 0.9111 0.8222
0.0000 0.5000 0.0000
```

Values from the calculation:
The density of states at the Fermi level comes out at 2.968 states/eV per cell. The energy relative to the elements, uncorrected comes out at -1705 meV/atom. For the magnetization, the calculation gives 0.0 μB/f.u.

***

Entry 8:
First-principles (GGA-PBE) data for a relaxed Th3SeS2 crystal, as listed in Alexandria via LeMat-Bulk.

```
Th3SeS2
1.0
3.9865 -0.0081 -0.9466
-0.2145 3.9808 -0.9472
-0.0789 -0.0820 9.2419
Th Se S
3 1 2
direct
0.9341 0.9358 0.8740
0.2636 0.2650 0.5326
0.6049 0.6062 0.2153
0.4341 0.4359 0.8740
0.0994 0.1008 0.2047
0.7691 0.7705 0.5432
```

Values from the calculation:
The density of states at the Fermi level comes out at 2.853 states/eV per cell. The energy relative to the elements, uncorrected comes out at -1733 meV/atom. For the magnetization, the calculation gives 0.0 μB/f.u.

***

Entry 9:
First-principles (GGA-PBE) data for a relaxed Th4Se3S crystal, as listed in Alexandria via LeMat-Bulk.

```
Th4Se3S
1.0
5.8926 0.0000 0.0000
0.0000 5.8926 0.0000
0.0000 0.0000 5.8926
S Se Th
1 3 4
direct
0.0000 0.0000 0.0000
0.0000 0.5000 0.5000
0.5000 0.0000 0.5000
0.5000 0.5000 0.0000
0.5000 0.0000 0.0000
0.0000 0.5000 0.0000
0.0000 0.0000 0.5000
0.5000 0.5000 0.5000
```

Values from the calculation:
The density of states at the Fermi level comes out at 4.715 states/eV per cell. The energy relative to the elements, uncorrected comes out at -1605 meV/atom. For the magnetization, the calculation gives 0.0 μB/f.u.

***

Entry 10:
First-principles (GGA-PBE) data for a relaxed Th5Se4S crystal, as listed in Alexandria via LeMat-Bulk.

```
Th5Se4S
1.0
-0.1390 -3.9223 -1.4174
2.4366 -1.2274 3.1574
-13.1176 0.0200 7.3731
Th Se S
5 4 1
direct
0.0964 0.0964 0.1928
0.5000 0.5000 0.0000
0.9036 0.9036 0.8072
0.2988 0.2988 0.5975
0.7012 0.7012 0.4025
0.3995 0.3995 0.7991
0.8021 0.8021 0.6043
0.1979 0.1979 0.3957
0.6005 0.6005 0.2009
0.0000 0.0000 0.0000
```

Values from the calculation:
The density of states at the Fermi level comes out at 5.509 states/eV per cell. The energy relative to the elements, uncorrected comes out at -1599 meV/atom. For the magnetization, the calculation gives 0.0 μB/f.u.

***

Entry 11:
First-principles (GGA-PBE) data for a relaxed Th3SeS5 crystal, as listed in Alexandria via LeMat-Bulk.

```
Th3SeS5
1.0
-2.7762 -7.2426 0.9407
3.6424 -3.3468 6.0480
-6.4180 0.1466 7.9539
Th Se S
6 2 10
direct
0.6682 0.6682 0.8308
0.6542 0.6542 0.3205
0.0000 0.0000 0.0000
0.0000 0.0000 0.5000
0.3318 0.3318 0.1692
0.3458 0.3458 0.6795
0.1130 0.1130 0.6982
0.8870 0.8870 0.3018
0.9695 0.3544 0.3262
0.3098 0.6902 0.0000
0.7719 0.7719 0.0309
0.4232 0.4232 0.3830
0.5768 0.5768 0.6170
0.2281 0.2281 0.9691
0.3544 0.9695 0.3262
0.6902 0.3098 0.0000
0.0305 0.6456 0.6738
0.6456 0.0305 0.6738
```

Values from the calculation:
The density of states at the Fermi level comes out at 0.000 states/eV per cell. The energy relative to the elements, uncorrected comes out at -1827 meV/atom. For the magnetization, the calculation gives 0.0 μB/f.u.

***

Entry 12:
First-principles (GGA-PBE) data for a relaxed Th3Se3S crystal, as listed in Alexandria via LeMat-Bulk.

```
Th3Se3S
1.0
-5.1875 0.4489 -5.2859
-2.4856 -3.6878 5.9392
-2.5067 6.4594 2.9838
Th Se S
6 6 2
direct
0.9409 0.9409 0.2206
0.8171 0.5071 0.6839
0.5071 0.8171 0.6839
0.1829 0.4929 0.3161
0.4929 0.1829 0.3161
0.0591 0.0591 0.7794
0.6235 0.6235 0.3604
0.1632 0.8368 0.5000
0.8368 0.1632 0.5000
0.2224 0.7776 0.0000
0.7776 0.2224 0.0000
0.3765 0.3765 0.6396
0.7430 0.7430 0.9255
0.2570 0.2570 0.0745
```

Values from the calculation:
The density of states at the Fermi level comes out at 6.020 states/eV per cell. The energy relative to the elements, uncorrected comes out at -1467 meV/atom. The distance to the lowest polymorph of the same formula comes out at 234 meV per atom. For the magnetization, the calculation gives 0.0 μB/f.u.

***

Entry 13:
First-principles (GGA-PBE) data for a relaxed TmThSeS crystal, as listed in Alexandria via LeMat-Bulk.

```
TmThSeS
1.0
-3.3445 1.2425 1.5415
0.0810 -3.2852 -2.0750
3.5697 -3.4801 5.6491
Tm Th Se S
1 1 1 1
direct
0.1209 0.9584 0.0951
0.4844 0.1401 0.6394
0.9550 0.3755 0.3456
0.3177 0.5568 0.8895
```

Values from the calculation:
The density of states at the Fermi level comes out at 3.057 states/eV per cell. The energy relative to the elements, uncorrected comes out at -1702 meV/atom. For the magnetization, the calculation gives 0.0 μB/f.u.

***

Entry 14:
First-principles (GGA-PBE) data for a relaxed YThSeS crystal, as listed in Alexandria via LeMat-Bulk.

```
YThSeS
1.0
3.9232 0.0003 -0.0007
-1.9605 3.3971 0.0000
-1.9624 -1.1328 7.2411
Y Th Se S
1 1 1 1
direct
0.1211 0.9585 0.0956
0.4843 0.1401 0.6391
0.9593 0.3777 0.3522
0.3132 0.5545 0.8828
```

Values from the calculation:
The density of states at the Fermi level comes out at 3.127 states/eV per cell. The energy relative to the elements, uncorrected comes out at -1736 meV/atom. For the magnetization, the calculation gives 0.0 μB/f.u.

***

Entry 15:
First-principles (GGA-PBE) data for a relaxed Th6ZnSe3S2 crystal, as listed in Alexandria via LeMat-Bulk.

```
Th6ZnSe3S2
1.0
7.1370 0.0026 0.0060
-3.5645 6.1831 0.0060
-1.1857 -2.0531 6.9966
Th Zn Se S
6 1 3 2
direct
0.9220 0.5807 0.7658
0.7363 0.7363 0.2317
0.0780 0.4193 0.2342
0.5807 0.9220 0.7658
0.2637 0.2637 0.7683
0.4193 0.0780 0.2342
0.0000 0.0000 0.0000
0.1620 0.8380 0.5000
0.8380 0.1620 0.5000
0.5000 0.5000 0.5000
0.3325 0.6675 0.0000
0.6675 0.3325 0.0000
```

Values from the calculation:
The density of states at the Fermi level comes out at 8.725 states/eV per cell. The energy relative to the elements, uncorrected comes out at -1392 meV/atom. For the magnetization, the calculation gives 0.0 μB/f.u.

***

Entry 16:
First-principles (GGA-PBE) data for a relaxed TiSeS2 crystal, as listed in Alexandria via LeMat-Bulk.

```
TiSeS2
1.0
-3.6324 0.7090 -5.0343
-0.1266 -6.1979 -0.7815
-5.9161 -3.0243 -0.0348
S Se Ti
4 2 2
direct
0.5594 0.1250 0.2500
0.1906 0.6250 0.2500
0.3750 0.4406 0.7500
0.8750 0.8094 0.7500
0.0000 0.0000 0.0000
0.7500 0.2500 0.5000
0.5000 0.5000 0.0000
0.2500 0.7500 0.5000
```

Values from the calculation:
The density of states at the Fermi level comes out at 8.784 states/eV per cell. The energy relative to the elements, uncorrected comes out at -236 meV/atom. For the magnetization, the calculation gives 0.0 μB/f.u.

***

Entry 17:
First-principles (GGA-PBE) data for a relaxed Ti4Se5S crystal, as listed in Alexandria via LeMat-Bulk.

```
Ti4Se5S
1.0
-2.4963 -1.6105 -1.9373
3.8589 1.2366 -6.0003
4.0149 -6.2093 3.2350
Ti Se S
4 5 1
direct
0.3456 0.9267 0.6913
0.0003 0.7727 0.0007
0.6544 0.0733 0.3087
0.9997 0.2273 0.9993
0.8362 0.6701 0.6723
0.8285 0.1779 0.6570
0.1715 0.8221 0.3430
0.5000 0.5000 0.0000
0.1638 0.3299 0.3277
0.5000 0.0000 0.0000
```

Values from the calculation:
The density of states at the Fermi level comes out at 5.090 states/eV per cell. The energy relative to the elements, uncorrected comes out at -1150 meV/atom. For the magnetization, the calculation gives 0.0 μB/f.u.

***

Entry 18:
First-principles (GGA-PBE) data for a relaxed Ti4Se3S crystal, as listed in Alexandria via LeMat-Bulk.

```
Ti4Se3S
1.0
-2.5751 -3.3711 -5.2457
6.2310 -1.1898 -2.2942
0.2342 -6.0561 3.7769
Ti Se S
8 6 2
direct
0.0859 0.9034 0.0000
0.6100 0.1037 0.0000
0.1815 0.2576 0.2439
0.6815 0.7424 0.2561
0.1100 0.8963 0.5000
0.5859 0.0966 0.5000
0.6815 0.7424 0.7439
0.1815 0.2576 0.7561
0.4386 0.7740 0.0000
0.0358 0.6374 0.2503
0.5358 0.3626 0.2497
0.9386 0.2260 0.5000
0.5358 0.3626 0.7503
0.0358 0.6374 0.7497
0.9460 0.2274 0.0000
0.4460 0.7726 0.5000
```

Values from the calculation:
The density of states at the Fermi level comes out at 8.884 states/eV per cell. The energy relative to the elements, uncorrected comes out at -839 meV/atom. For the magnetization, the calculation gives 0.0 μB/f.u.

***

Entry 19:
First-principles (GGA-PBE) data for a relaxed Ti3Se2S4 crystal, as listed in Alexandria via LeMat-Bulk.

```
Ti3Se2S4
1.0
-1.2392 2.7408 -1.6962
-0.9921 -0.6124 3.2504
14.7589 10.7099 6.5228
Ti Se S
3 2 4
direct
0.6667 0.3333 0.0088
0.6667 0.3333 0.3302
0.6667 0.3333 0.6709
0.3333 0.6667 0.5865
0.3333 0.6667 0.9243
0.0000 0.0000 0.0784
0.0000 0.0000 0.4027
0.0000 0.0000 0.7407
0.3333 0.6667 0.2576
```

Values from the calculation:
The density of states at the Fermi level comes out at 1.522 states/eV per cell. The energy relative to the elements, uncorrected comes out at -1229 meV/atom. The distance to the lowest polymorph of the same formula comes out at 0 meV per atom. For the magnetization, the calculation gives 0.0 μB/f.u.

***

Entry 20:
First-principles (GGA-PBE) data for a relaxed TiSe2S6 crystal, as listed in Alexandria via LeMat-Bulk.

```
TiSe2S6
1.0
-0.2134 2.0016 3.1537
-4.0206 -5.8517 3.1464
7.6907 -0.7941 0.7288
Ti Se S
1 2 6
direct
0.0000 0.0000 0.0000
0.5000 0.8665 0.1335
0.5000 0.1335 0.8665
0.8882 0.5165 0.2560
0.1118 0.4835 0.7440
0.8579 0.7067 0.7067
0.8882 0.2560 0.5165
0.1118 0.7440 0.4835
0.1421 0.2933 0.2933
```

Values from the calculation:
The energy relative to the elements, uncorrected comes out at -218 meV/atom. For the magnetization, the calculation gives 0.0 μB/f.u.